# YGa2Ni (PBE, optimized geometry)
# - E_tot (eV/atom) = -4.879
data_YGa2Ni
_cell_length_a 6.526
_cell_length_b 6.526
_cell_length_c 6.526
_cell_angle_alpha 90.00
_cell_angle_beta 90.00
_cell_angle_gamma 90.00
_space_group_name_H-M_alt 'F -4 3 m'
_space_group_IT_number 216
_space_group_name_Hall 'F -4 2 3'
loop_
_atom_site_label
_atom_site_type_symbol
_atom_site_fract_x
_atom_site_fract_y
_atom_site_fract_z
Y1 Y 0.000 0.000 0.000
Ga1 Ga 0.000 0.000 0.500
Ga2 Ga 0.250 0.250 0.250
Ni1 Ni 0.250 0.250 0.750

# LiGe2Ir (PBE, optimized geometry)
# - E_tot (eV/atom) = -4.974
data_LiGe2Ir
_cell_length_a 6.226
_cell_length_b 6.226
_cell_length_c 6.226
_cell_angle_alpha 90.00
_cell_angle_beta 90.00
_cell_angle_gamma 90.00
_space_group_name_H-M_alt 'F -4 3 m'
_space_group_IT_number 216
_space_group_name_Hall 'F -4 2 3'
loop_
_atom_site_label
_atom_site_type_symbol
_atom_site_fract_x
_atom_site_fract_y
_atom_site_fract_z
Li1 Li 0.000 0.000 0.000
Ge1 Ge 0.000 0.000 0.500
Ge2 Ge 0.250 0.250 0.750
Ir1 Ir 0.250 0.250 0.250

# NdPuNb (PBE, optimized geometry)
# - ΔE_f (eV/atom) = 1.112
# - ΔE to the lowest computed polymorph (eV/f.u.) = 0.00
# - E_tot (eV/atom) = -8.549
data_NdPuNb
_cell_length_a 6.808
_cell_length_b 6.808
_cell_length_c 6.808
_cell_angle_alpha 90.00
_cell_angle_beta 90.00
_cell_angle_gamma 90.00
_space_group_name_H-M_alt 'F -4 3 m'
_space_group_IT_number 216
_space_group_name_Hall 'F -4 2 3'
loop_
_atom_site_label
_atom_site_type_symbol
_atom_site_fract_x
_atom_site_fract_y
_atom_site_fract_z
Nd1 Nd 0.000 0.000 0.000
Pu1 Pu 0.250 0.250 0.750
Nb1 Nb 0.000 0.000 0.500

# LaMgNiB (PBE, optimized geometry)
# - ΔE to the lowest computed polymorph (eV/f.u.) = 1.10
# - E_tot (eV/atom) = -4.205
data_LaMgNiB
_cell_length_a 6.425
_cell_length_b 6.425
_cell_length_c 6.425
_cell_angle_alpha 90.00
_cell_angle_beta 90.00
_cell_angle_gamma 90.00
_space_group_name_H-M_alt 'F -4 3 m'
_space_group_IT_number 216
_space_group_name_Hall 'F -4 2 3'
loop_
_atom_site_label
_atom_site_type_symbol
_atom_site_fract_x
_atom_site_fract_y
_atom_site_fract_z
La1 La 0.000 0.000 0.000
Mg1 Mg 0.250 0.250 0.250
Ni1 Ni 0.250 0.250 0.750
B1 B 0.000 0.000 0.500

# MgZrB4 (PBE, optimized geometry)
# - ΔE to the lowest computed polymorph (eV/f.u.) = 0.00
# - E_tot (eV/atom) = -6.653
data_MgZrB4
_cell_length_a 3.1230
_cell_length_b 3.1230
_cell_length_c 7.1307
_cell_angle_alpha 90.00
_cell_angle_beta 90.00
_cell_angle_gamma 120.00
_space_group_name_H-M_alt 'P 6/m m m'
_space_group_IT_number 191
_space_group_name_Hall '-P 6 2'
loop_
_atom_site_label
_atom_site_type_symbol
_atom_site_fract_x
_atom_site_fract_y
_atom_site_fract_z
Mg1 Mg 0.0000 0.0000 0.0000
Zr1 Zr 0.0000 0.0000 0.5000
B1 B 0.3333 0.6667 0.2507

# HoBiAsO (PBE, optimized geometry)
# - ΔE to the lowest computed polymorph (eV/f.u.) = 0.21
# - E_tot (eV/atom) = -5.852
data_HoBiAsO
_cell_length_a 3.903
_cell_length_b 8.426
_cell_length_c 6.074
_cell_angle_alpha 90.00
_cell_angle_beta 90.00
_cell_angle_gamma 90.00
_space_group_name_H-M_alt 'P m c 21'
_space_group_IT_number 26
_space_group_name_Hall 'P 2c -2'
loop_
_atom_site_label
_atom_site_type_symbol
_atom_site_fract_x
_atom_site_fract_y
_atom_site_fract_z
Ho1 Ho 0.000 0.161 0.000
Bi1 Bi 0.500 0.419 0.513
As1 As 0.000 0.182 0.502
O1 O 0.500 0.254 0.004